This record from Alexandria describes a geometry-optimized TbPrTm2Sc2 structure. The functional is PBE.

Cell: 5.4788 9.5308 6.7520 Å, 90.00 90.00 90.00°
Sites, in units of the cell vectors:
Tb 0.5000 0.5000 0.0000
Tb 0.0000 0.0000 0.5000
Pr 0.0000 0.0000 0.0000
Pr 0.5000 0.5000 0.5000
Tm 0.5000 0.8335 0.2521
Tm 0.5000 0.1665 0.7479
Tm 0.0000 0.6665 0.7521
Tm 0.0000 0.3335 0.2479
Sc 0.5000 0.1667 0.2500
Sc 0.0000 0.6667 0.2500
Sc 0.5000 0.8333 0.7500
Sc 0.0000 0.3333 0.7500

Results
Space-group type ... No. 58
ΔE_f ... 0.080 eV per atom
V ... 352.57 Å³ per cell